[1]
Density functional theory data (PBE-GGA) for a relaxed Cd2NiSn crystal.

extended XYZ file:
```
4
Lattice="4.288 0.736 1.948 1.012 -1.814 4.291 3.090 -3.608 0.394" Properties=species:S:1:pos:R:3 pbc="T T T"
Ni 2.098 -1.171 1.658
Cd 0.000 0.000 0.000
Cd 6.293 -3.514 4.974
Sn 4.195 -2.343 3.316
```

Values from the calculation:
Calculated density in Mg/m³: 8.7
Total energy in eV per cell: -10.6

[2]
Density functional theory data (PBE-GGA) for a relaxed Dy2ZnAgAs2O2 crystal.

extended XYZ file:
```
8
Lattice="-2.698 0.841 2.735 1.400 -2.891 2.270 5.790 5.872 3.908" Properties=species:S:1:pos:R:3 pbc="T T T"
O -0.649 -1.025 2.502
O 0.000 0.000 0.000
As 0.430 2.225 2.569
As 4.711 2.622 3.842
Zn 2.246 1.911 4.456
Dy 1.393 -0.743 1.603
Dy 3.748 5.589 4.808
Ag 2.895 2.936 1.954
```

Values from the calculation:
Calculated density in Mg/m³: 8.0
Total energy in eV per cell: -46.4

[3]
Density functional theory data (PBE-GGA) for a relaxed GaCuGePt crystal.

extended XYZ file:
```
4
Lattice="-2.432 -3.646 0.577 -4.013 -0.292 -1.830 -0.689 -2.756 -3.387" Properties=species:S:1:pos:R:3 pbc="T T T"
Pt -1.783 -1.673 -1.160
Ge 0.000 0.000 0.000
Ga -3.567 -3.347 -2.320
Cu -5.350 -5.020 -3.480
```

Values from the calculation:
Calculated density in Mg/m³: 10.9
Total energy in eV per cell: -17.9
Energy relative to the lowest polymorph listed for this composition in meV per atom: 0